(1)
! NpAgPtRh GGA-PBE relaxed; values from VASP
&SYSTEM
  ibrav = 0, nat = 4, ntyp = 4
/
ATOMIC_SPECIES
Np 237.00 Np.upf
Ag 107.87 Ag.upf
Pt 195.08 Pt.upf
Rh 102.91 Rh.upf
CELL_PARAMETERS angstrom
0.000 3.324 3.324
3.324 0.000 3.324
3.324 3.324 0.000
ATOMIC_POSITIONS angstrom
Np 0.000 0.000 0.000
Ag 3.324 3.324 3.324
Pt 1.662 1.662 1.662
Rh 4.985 4.985 4.985
! magnetization: 3.14 μB/f.u.
! energy of formation: -23.5 kJ per mole of atoms

***

(2)
! Np2Si3AgPt4 GGA-PBE relaxed; values from VASP
&SYSTEM
  ibrav = 0, nat = 10, ntyp = 4
/
ATOMIC_SPECIES
Np 237.00 Np.upf
Si 28.09 Si.upf
Ag 107.87 Ag.upf
Pt 195.08 Pt.upf
CELL_PARAMETERS angstrom
4.041 0.000 0.000
0.000 4.041 0.000
0.000 0.000 11.128
ATOMIC_POSITIONS angstrom
Np 0.000 2.021 2.762
Np 2.021 0.000 8.367
Si 0.000 2.021 9.719
Si 2.021 0.000 1.409
Si 2.021 2.021 5.564
Ag 0.000 0.000 5.564
Pt 0.000 0.000 0.000
Pt 0.000 2.021 7.373
Pt 2.021 0.000 3.755
Pt 2.021 2.021 0.000
! formation energy from raw total energies: -5.74 eV per formula unit
! magnetization: 7.94 μB/f.u.

***

(3)
! Pu2NpAg GGA-PBE relaxed; values from VASP
&SYSTEM
  ibrav = 0, nat = 4, ntyp = 3
/
ATOMIC_SPECIES
Pu 244.00 Pu.upf
Np 237.00 Np.upf
Ag 107.87 Ag.upf
CELL_PARAMETERS angstrom
1.830 1.057 8.593
-1.830 1.057 8.593
0.000 -2.113 8.593
ATOMIC_POSITIONS angstrom
Pu 0.000 0.000 2.984
Pu 0.000 0.000 22.795
Np 0.000 0.000 12.889
Ag 0.000 0.000 0.000
! magnetization: 6.01 μB/f.u.
! offset from the most stable computed form: 449.8 meV/atom
! energy of formation: 67.9 kJ per mole of atoms

***

(4)
! Pu2NpAg GGA-PBE relaxed; values from VASP
&SYSTEM
  ibrav = 0, nat = 4, ntyp = 3
/
ATOMIC_SPECIES
Pu 244.00 Pu.upf
Np 237.00 Np.upf
Ag 107.87 Ag.upf
CELL_PARAMETERS angstrom
2.996 0.000 0.000
0.000 2.996 0.000
0.000 0.000 9.764
ATOMIC_POSITIONS angstrom
Pu 0.000 0.000 2.402
Pu 0.000 0.000 7.362
Np 1.498 1.498 0.000
Ag 1.498 1.498 4.882
! magnetization: 7.26 μB/f.u.
! offset from the most stable computed form: 0.0 meV/atom
! energy of formation: 24.5 kJ per mole of atoms